This record from Alexandria describes an optimized crystal structure of ZnNiF5. The functional is PBE with a Hubbard U.

Computed properties:
* relative energy among the computed polymorphs: 19.2 meV/atom
* calculated density: 4.0 g/cm3
* total magnetization: 2.0 μB/cell

Geometry as POSCAR:
```
ZnNiF5
1.0
3.904 -3.350 0.000
3.904 3.350 0.000
-3.576 0.000 7.039
Zn Ni F
2 2 10
Direct
0.095 0.905 0.750
0.905 0.095 0.250
0.000 0.500 0.000
0.500 0.000 0.500
0.166 0.607 0.864
0.205 0.248 0.504
0.214 0.786 0.250
0.248 0.205 0.004
0.393 0.834 0.636
0.607 0.166 0.364
0.752 0.795 0.996
0.786 0.214 0.750
0.795 0.752 0.496
0.834 0.393 0.136
```

This record from Alexandria describes an optimized crystal structure of ZnNiF3. The functional is PBE with a Hubbard U.

Computed properties:
* relative energy among the computed polymorphs: 387.5 meV/atom
* calculated density: 4.6 g/cm3
* Fermi-level density of states: 11.19 states/eV/cell
* total magnetization: 1.1 μB/cell

Geometry as POSCAR:
```
ZnNiF3
1.0
4.018 0.000 0.000
0.000 4.018 0.000
0.000 0.000 4.018
Zn Ni F
1 1 3
Direct
0.000 0.000 0.000
0.500 0.500 0.500
0.000 0.000 0.500
0.000 0.500 0.000
0.500 0.000 0.000
```

This record from Alexandria describes an optimized crystal structure of Zn2NiF8. The functional is PBE with a Hubbard U.

Computed properties:
* calculated density: 4.3 g/cm3
* Fermi-level density of states: 4.46 states/eV/cell
* total magnetization: 0.0 μB/cell

Geometry as POSCAR:
```
Zn2NiF8
1.0
4.506 -3.382 0.000
4.506 3.382 0.000
-2.244 0.000 4.375
Zn Ni F
2 1 8
Direct
0.177 0.177 0.272
0.823 0.823 0.728
0.500 0.500 0.000
0.050 0.050 0.796
0.171 0.531 0.739
0.377 0.377 0.232
0.469 0.829 0.261
0.531 0.171 0.739
0.623 0.623 0.768
0.829 0.469 0.261
0.950 0.950 0.204
```

Calculated calculated volume in order - 13.15, 12.97, 12.12 Å³/atom
Calculated calculated total energy in order - -0.13904, -0.11388, -0.13184 hartree per atom